Version one
Below is a relaxed EuPu2Fe crystal, with properties calculated at the GGA-PBE level.

Lattice parameters (Å, degrees): 3.347 3.347 9.076 90.00 90.00 90.00
Sites, in units of the cell vectors:
Eu: 0.000 0.000 0.000
Pu: 0.500 0.500 0.321
Pu: 0.500 0.500 0.679
Fe: 0.000 0.000 0.500

Results
V: 101.7 Å³/cell
DOS at the Fermi energy: 12.45 states/eV per cell

=====

Version two
Below is a relaxed EuPu2Fe crystal, with properties calculated at the GGA-PBE level.

Lattice parameters (Å, degrees): 6.493 6.493 6.493 40.59 40.59 40.59
Sites, in units of the cell vectors:
Eu: 0.000 0.000 0.000
Pu: 0.216 0.216 0.216
Pu: 0.784 0.784 0.784
Fe: 0.500 0.500 0.500

Results
V: 104.5 Å³/cell
DOS at the Fermi energy: 13.73 states/eV per cell

=====

How far above the most stable structure does each one sit? In meV per atom: version one 0; version two 167.

=====

Version one
Below is a relaxed EuGdGa2 crystal, with properties calculated at the GGA-PBE level.

Lattice parameters (Å, degrees): 5.249 5.249 3.622 90.00 90.00 90.00
Sites, in units of the cell vectors:
Eu: 0.000 0.000 0.000
Gd: 0.500 0.500 0.000
Ga: 0.000 0.500 0.500
Ga: 0.500 0.000 0.500

Results
V: 99.8 Å³/cell
DOS at the Fermi energy: 4.61 states/eV per cell

=====

Version two
Below is a relaxed EuGdGa2 crystal, with properties calculated at the GGA-PBE level.

Lattice parameters (Å, degrees): 5.204 5.204 5.204 60.00 60.00 60.00
Sites, in units of the cell vectors:
Eu: 0.000 0.000 0.000
Gd: 0.500 0.500 0.500
Ga: 0.250 0.250 0.250
Ga: 0.750 0.750 0.750

Results
V: 99.7 Å³/cell
DOS at the Fermi energy: 3.91 states/eV per cell

=====

How far above the most stable structure does each one sit? In meV per atom: version one 0; version two 5.